(1)
First-principles (PBE) data for an optimized crystal structure of KLiMo2, as listed in Alexandria via LeMat-Bulk.

The formation enthalpy at 0 K comes out at 0.852 eV/atom.

Structure (CIF):
```
data_KLiMo2
_space_group_name_H-M_alt 'R 3 m'
_space_group_IT_number 160
_space_group_name_Hall 'R 3 -2"'
_cell_length_a 2.8502
_cell_length_b 2.8502
_cell_length_c 33.6320
_cell_angle_alpha 90.00
_cell_angle_beta 90.00
_cell_angle_gamma 120.00
loop_
_atom_site_label
_atom_site_type_symbol
_atom_site_fract_x
_atom_site_fract_y
_atom_site_fract_z
K1 K 0.0000 0.0000 0.0000
Li1 Li 0.0000 0.0000 0.2325
Mo1 Mo 0.0000 0.0000 0.4944
Mo2 Mo 0.0000 0.0000 0.7572
```

=====

(2)
First-principles (PBE) data for an optimized crystal structure of KLiMo2, as listed in Alexandria via LeMat-Bulk.

The formation enthalpy at 0 K comes out at 1.063 eV/atom.

Structure (CIF):
```
data_KLiMo2
_space_group_name_H-M_alt 'P 1 2/m 1'
_space_group_IT_number 10
_cell_length_a 2.670
_cell_length_b 5.805
_cell_length_c 5.177
_cell_angle_alpha 90.00
_cell_angle_beta 101.96
_cell_angle_gamma 90.00
loop_
_space_group_symop_operation_xyz
'x,y,z'
'-x,-y,-z'
'-x,y,-z'
'x,-y,z'
loop_
_atom_site_label
_atom_site_type_symbol
_atom_site_fract_x
_atom_site_fract_y
_atom_site_fract_z
K1 K 0.000 0.000 0.000
Li1 Li 0.500 0.000 0.500
Mo1 Mo 0.218 0.500 0.740
```

=====

(3)
First-principles (PBE) data for an optimized crystal structure of KLiMoN3, as listed in Alexandria via LeMat-Bulk.

As for the formation energy without anion corrections: -129 kJ/mol of formula units.

Structure (CIF):
```
data_KLiMoN3
_space_group_name_H-M_alt 'C 1 2/c 1'
_space_group_IT_number 15
_cell_length_a 5.812
_cell_length_b 10.676
_cell_length_c 5.493
_cell_angle_alpha 90.00
_cell_angle_beta 90.09
_cell_angle_gamma 90.00
loop_
_space_group_symop_operation_xyz
'x,y,z'
'-x,-y,-z'
'-x,y,-z+1/2'
'x,-y,z+1/2'
'x+1/2,y+1/2,z'
'-x+1/2,-y+1/2,-z'
'-x+1/2,y+1/2,-z+1/2'
'x+1/2,-y+1/2,z+1/2'
loop_
_atom_site_label
_atom_site_type_symbol
_atom_site_fract_x
_atom_site_fract_y
_atom_site_fract_z
K1 K 0.000 0.227 0.250
Li1 Li 0.000 0.070 0.750
Mo1 Mo 0.000 0.441 0.750
N1 N 0.000 0.275 0.750
N2 N 0.232 0.500 0.000
```

=====

(4)
First-principles (PBE) data for an optimized crystal structure of K2NaLiMo, as listed in Alexandria via LeMat-Bulk.

The formation enthalpy at 0 K comes out at 1.194 eV/atom.

Structure (CIF):
```
data_K2NaLiMo
_space_group_name_H-M_alt 'P 4/m m m'
_space_group_IT_number 123
_space_group_name_Hall '-P 4 2'
_cell_length_a 6.526
_cell_length_b 6.526
_cell_length_c 5.867
_cell_angle_alpha 90.00
_cell_angle_beta 90.00
_cell_angle_gamma 90.00
loop_
_atom_site_label
_atom_site_type_symbol
_atom_site_fract_x
_atom_site_fract_y
_atom_site_fract_z
K1 K 0.000 0.500 0.000
Na1 Na 0.000 0.000 0.000
Li1 Li 0.500 0.500 0.500
Mo1 Mo 0.000 0.000 0.500
```

=====

no.,calculated density (g/cm3),total magnetization (μB/f.u.)
1,5.01,0.0
2,5.03,0.0
3,3.59,0.8
4,1.36,5.1